(1)
# ZnBiPdAu (PBE, relaxed)
# * distance to the lowest polymorph of the same formula: 0.0000 eV/atom
# * uncorrected energy: -3.50 eV per atom
data_ZnBiPdAu
_chemical_formula_sum 'Zn4 Bi4 Pd4 Au4'
_cell_length_a 6.790
_cell_length_b 6.790
_cell_length_c 6.790
_cell_angle_alpha 90.00
_cell_angle_beta 90.00
_cell_angle_gamma 90.00
_space_group_name_H-M_alt 'F -4 3 m'
_space_group_IT_number 216
_space_group_name_Hall 'F -4 2 3'
loop_
_atom_site_label
_atom_site_type_symbol
_atom_site_fract_x
_atom_site_fract_y
_atom_site_fract_z
_atom_site_occupancy
Zn1 Zn 0.000 0.000 0.000 1
Bi1 Bi 0.000 0.000 0.500 1
Pd1 Pd 0.250 0.250 0.750 1
Au1 Au 0.250 0.250 0.250 1



(2)
# PrBiAu2 (PBE, relaxed)
# * uncorrected energy: -4.35 eV per atom
data_PrBiAu2
_chemical_formula_sum 'Pr2 Bi2 Au4'
_cell_length_a 4.584
_cell_length_b 4.002
_cell_length_c 11.250
_cell_angle_alpha 90.00
_cell_angle_beta 90.00
_cell_angle_gamma 90.00
_space_group_name_H-M_alt 'A m m 2'
_space_group_IT_number 38
loop_
_space_group_symop_operation_xyz
'x,y,z'
'-x,-y,z'
'-x,y,z'
'x,-y,z'
'x,y+1/2,z+1/2'
'-x,-y+1/2,z+1/2'
'-x,y+1/2,z+1/2'
'x,-y+1/2,z+1/2'
loop_
_atom_site_label
_atom_site_type_symbol
_atom_site_fract_x
_atom_site_fract_y
_atom_site_fract_z
_atom_site_occupancy
Pr1 Pr 0.000 0.000 0.000 1
Bi1 Bi 0.500 0.000 0.709 1
Au1 Au 0.000 0.000 0.279 1
Au2 Au 0.500 0.000 0.436 1